## 1
## PmInCu (PBE-GGA)

Data for an optimized crystal structure of PmInCu.

abc: 4.901 4.901 4.901
angles: 60.00 60.00 60.00
Positions (direct):
Pm: 0.000 0.000 0.000
In: 0.250 0.250 0.250
Cu: 0.750 0.750 0.750

Results
crystal system	cubic

---

## 2
## PmInCu (PBE-GGA)

Data for an optimized crystal structure of PmInCu.

abc: 4.823 4.823 4.823
angles: 60.00 60.00 60.00
Positions (direct):
Pm: 0.000 0.000 0.000
In: 0.750 0.750 0.750
Cu: 0.500 0.500 0.500

Results
crystal system	cubic

---

Which of them is the most stable? Correct choice: 2.

---

## 1
## InCuRePt (PBE-GGA)

Data for an optimized crystal structure of InCuRePt.

abc: 4.499 4.499 4.499
angles: 60.00 60.00 60.00
Positions (direct):
In: 0.000 0.000 0.000
Cu: 0.250 0.250 0.250
Re: 0.500 0.500 0.500
Pt: 0.750 0.750 0.750

Results
crystal system	cubic

---

## 2
## InCuRePt (PBE-GGA)

Data for an optimized crystal structure of InCuRePt.

abc: 4.500 4.500 4.500
angles: 60.00 60.00 60.00
Positions (direct):
In: 0.000 0.000 0.000
Cu: 0.250 0.250 0.250
Re: 0.750 0.750 0.750
Pt: 0.500 0.500 0.500

Results
crystal system	cubic

---

Which of them is the most stable? Correct choice: 1.

---

## 1
## InCu3SnS4 (PBE-GGA)

Data for an optimized crystal structure of InCu3SnS4.

abc: 5.831 5.831 5.831
angles: 90.00 90.00 90.00
Positions (direct):
In: 0.000 0.000 0.000
Cu: 0.000 0.500 0.500
Cu: 0.500 0.000 0.500
Cu: 0.500 0.500 0.000
Sn: 0.500 0.500 0.500
S: 0.247 0.247 0.247
S: 0.247 0.753 0.753
S: 0.753 0.247 0.753
S: 0.753 0.753 0.247

Results
crystal system	cubic

---

## 2
## InCu3SnS4 (PBE-GGA)

Data for an optimized crystal structure of InCu3SnS4.

abc: 5.868 7.399 9.485
angles: 90.00 106.53 90.00
Positions (direct):
In: 0.163 0.250 0.405
In: 0.837 0.750 0.595
Cu: 0.317 0.572 0.029
Cu: 0.317 0.928 0.029
Cu: 0.458 0.750 0.288
Cu: 0.542 0.250 0.712
Cu: 0.683 0.072 0.971
Cu: 0.683 0.428 0.971
Sn: 0.104 0.250 0.794
Sn: 0.896 0.750 0.206
S: 0.013 0.250 0.031
S: 0.213 0.750 0.430
S: 0.364 0.509 0.782
S: 0.364 0.991 0.782
S: 0.636 0.009 0.218
S: 0.636 0.491 0.218
S: 0.787 0.250 0.570
S: 0.987 0.750 0.969

Results
crystal system	monoclinic

---

Which of them is the most stable? Correct choice: 2.